Record 1
# Hg2BiPt2

An optimized crystal structure of Hg2BiPt2 (PBE, the Alexandria database).

Results
ρ ... 15.91 g cm⁻³
ΔE_f ... 0.07 eV per atom
Energy relative to the lowest polymorph listed for this composition ... 0.0638 eV per atom

Lattice parameters (Å, degrees): 8.265 8.265 3.057 90.00 90.00 90.00
Space group P4/mbm (No. 127)
Asymmetric unit:
Hg1 0.128 0.372 0.000
Bi1 0.000 0.000 0.000
Pt1 0.170 0.670 0.500

=====

Record 2
# Ga2H2Ir

An optimized crystal structure of Ga2H2Ir (PBE, the Alexandria database).

Results
ρ ... 10.27 g cm⁻³
Energy relative to the lowest polymorph listed for this composition ... 0.0752 eV per atom

Lattice parameters (Å, degrees): 5.909 5.909 3.092 90.00 90.00 90.00
Space group P4/mbm (No. 127)
Asymmetric unit:
Ga1 0.145 0.355 0.000
H1 0.220 0.720 0.500
Ir1 0.000 0.000 0.500

=====

Record 3
# BeAl4Tc

An optimized crystal structure of BeAl4Tc (PBE, the Alexandria database).

Results
ρ ... 4.07 g cm⁻³
ΔE_f ... 0.17 eV per atom

Lattice parameters (Å, degrees): 7.054 7.054 7.054 90.00 90.00 90.00
Space group F-43m (No. 216)
Asymmetric unit:
Be1 0.000 0.000 0.000
Al1 0.125 0.125 0.625
Tc1 0.250 0.250 0.250

=====

Record 4
# ZrSb2Se

An optimized crystal structure of ZrSb2Se (PBE, the Alexandria database).

Results
Uncorrected formation energy ... -270 meV/atom
ρ ... 7.27 g cm⁻³

Lattice parameters (Å, degrees): 4.016 4.016 5.860 90.00 90.00 90.00
Space group P4/mmm (No. 123)
Asymmetric unit:
Zr1 0.000 0.000 0.000
Sb1 0.500 0.500 0.246
Se1 0.000 0.000 0.500

=====

Record 5
# Tb6SmY12

An optimized crystal structure of Tb6SmY12 (PBE, the Alexandria database).

Results
ρ ... 5.90 g cm⁻³
ΔE_f ... 0.02 eV per atom
Energy relative to the lowest polymorph listed for this composition ... 0.0000 eV per atom

Lattice parameters (Å, degrees): 15.5603 15.5603 8.7458 90.00 90.00 120.00
Space group R-3 (No. 148, hexagonal axes)
Asymmetric unit:
Tb1 0.0354 0.7544 0.3328
Sm1 0.0000 0.0000 0.0000
Y1 0.0172 0.8766 0.6662
Y2 0.0698 0.5085 0.6675

=====

Record 6
# YZrRe2

An optimized crystal structure of YZrRe2 (PBE, the Alexandria database).

Results
ρ ... 12.00 g cm⁻³
ΔE_f ... 0.23 eV per atom
Energy relative to the lowest polymorph listed for this composition ... 0.2220 eV per atom

Lattice parameters (Å, degrees): 4.790 4.790 3.333 90.00 90.00 90.00
Space group P4/mmm (No. 123)
Asymmetric unit:
Y1 0.000 0.000 0.000
Zr1 0.500 0.500 0.000
Re1 0.000 0.500 0.500

=====

Record 7
# LaTaRh3

An optimized crystal structure of LaTaRh3 (PBE, the Alexandria database).

Results
ρ ... 9.42 g cm⁻³
ΔE_f ... -0.03 eV per atom
Energy relative to the lowest polymorph listed for this composition ... 0.0000 eV per atom

Lattice parameters (Å, degrees): 4.803 4.803 4.803 90.00 90.00 90.00
Space group Pm-3m (No. 221)
Asymmetric unit:
La1 0.000 0.000 0.000
Ta1 0.500 0.500 0.500
Rh1 0.000 0.500 0.500

=====

Record 8
# YZn2NF

An optimized crystal structure of YZn2NF (PBE, the Alexandria database).

Results
Uncorrected formation energy ... -4 meV/atom
ρ ... 4.90 g cm⁻³

Lattice parameters (Å, degrees): 4.042 4.042 5.244 90.00 90.00 90.00
Space group P4/mmm (No. 123)
Asymmetric unit:
Y1 0.000 0.000 0.000
Zn1 0.000 0.500 0.500
N1 0.500 0.500 0.000
F1 0.000 0.000 0.500

=====

Among the records above, which one has the highest ρ?
Hg2BiPt2